Entry 1:
The following is a DFT calculation (PBE-GGA) of crystalline TmWC2 at its relaxed geometry.

Summary:
**E above lowest polymorph**: 0.275 eV per atom
**Raw total energy**: -36.07 eV for the cell shown

Lattice parameters (Å, degrees): 6.015 6.015 6.015 30.56 30.56 30.56
Fractional coordinates of all 4 atoms:
1 Tm 0.000 0.000 0.000
2 W 0.176 0.176 0.176
3 C 0.577 0.577 0.577
4 C 0.768 0.768 0.768

=====

Entry 2:
The following is a DFT calculation (PBE-GGA) of crystalline YTm2C2 at its relaxed geometry.

Summary:
**Raw total energy**: -35.33 eV for the cell shown

Lattice parameters (Å, degrees): 6.291 6.291 6.291 146.80 133.38 58.43
Fractional coordinates of all 5 atoms:
1 Y 0.000 0.000 0.000
2 Tm 0.312 0.312 0.000
3 Tm 0.688 0.688 0.000
4 C 0.164 0.664 0.500
5 C 0.836 0.336 0.500

=====

Entry 3:
The following is a DFT calculation (PBE-GGA) of crystalline YTm2C3 at its relaxed geometry.

Summary:
**Raw total energy**: -87.28 eV for the cell shown

Lattice parameters (Å, degrees): 6.871 6.871 6.871 131.97 85.21 114.50
Fractional coordinates of all 12 atoms:
1 Y 0.282 0.032 0.250
2 Y 0.718 0.968 0.750
3 Tm 0.095 0.669 0.425
4 Tm 0.256 0.331 0.925
5 Tm 0.744 0.669 0.075
6 Tm 0.905 0.331 0.575
7 C 0.000 0.000 0.500
8 C 0.000 0.123 0.123
9 C 0.000 0.500 0.000
10 C 0.000 0.877 0.877
11 C 0.500 0.123 0.623
12 C 0.500 0.877 0.377

=====

Number 1: formation enthalpy at 0 K -49 meV/atom. Number 2: formation enthalpy at 0 K -295 meV/atom. Number 3: formation enthalpy at 0 K -94 meV/atom.